# 1
CeTh2Fe | PBE-GGA | optimized geometry

Lattice parameters (Å, degrees): 6.9001 9.7577 6.2359 90.00 90.00 90.00
Space group Pnma (No. 62)
Unique sites:
Ce 0.0648 0.2500 0.1620
Th 0.1522 0.0659 0.6694
Fe 0.1644 0.7500 0.4733

Calculated values
Its magnetization is 0.00 μB/cell. Its density of states at the Fermi level is 24.762 states/eV/cell. Its energy above the most stable polymorph in this dataset is 0.000 eV per atom.

=====

# 2
Dy2GaGe2 | PBE-GGA | optimized geometry

Lattice parameters (Å, degrees): 4.0602 6.2559 8.5608 90.00 90.00 90.00
Space group Immm (No. 71)
Unique sites:
Dy 0.0000 0.0000 0.2189
Ga 0.0000 0.5000 0.0000
Ge 0.0000 0.2917 0.5000

Calculated values
Its magnetization is 0.00 μB/cell. Its total energy is -5.020 eV/atom. Its density of states at the Fermi level is 4.523 states/eV/cell.

=====

# 3
TaTlPb2 | PBE-GGA | optimized geometry

Lattice parameters (Å, degrees): 7.3141 8.4586 3.2725 90.00 90.37 90.00
Space group C2/m (No. 12)
Unique sites:
Ta 0.0000 0.0000 0.0000
Tl 0.0000 0.5000 0.0000
Pb 0.2500 0.2500 0.5000

Calculated values
Its magnetization is 0.00 μB/cell. Its density of states at the Fermi level is 5.526 states/eV/cell. Its energy above the most stable polymorph in this dataset is 0.303 eV per atom.

=====

# 4
TiGaRh2 | PBE-GGA | optimized geometry

Lattice parameters (Å, degrees): 6.7082 6.7082 5.7091 90.00 90.00 90.00
Space group I-42d (No. 122)
Unique sites:
Ti 0.0000 0.0000 0.0000
Ga 0.0000 0.0000 0.5000
Rh 0.2404 0.7500 0.1250

Calculated values
Its magnetization is 0.00 μB/cell. Its total energy is -6.705 eV/atom. Its density of states at the Fermi level is 11.037 states/eV/cell.

=====

# 5
CrNiH2 | PBE-GGA | optimized geometry

Lattice parameters (Å, degrees): 4.7531 5.5497 4.5766 90.00 106.54 90.00
Space group P2_1/c (No. 14)
Unique sites:
Cr 0.0074 0.0950 0.2896
Ni 0.4938 0.1198 0.7600
H 0.1421 0.6399 0.6140
H 0.3917 0.1334 0.3827

Calculated values
Its magnetization is 0.00 μB/cell. Its density of states at the Fermi level is 10.679 states/eV/cell. Its energy above the most stable polymorph in this dataset is 0.147 eV per atom.

=====

# 6
PrGaAgAu | PBE-GGA | optimized geometry

Lattice parameters (Å, degrees): 7.0285 7.0285 7.0285 90.00 90.00 90.00
Space group F-43m (No. 216)
Unique sites:
Pr 0.0000 0.0000 0.0000
Ga 0.2500 0.2500 0.7500
Ag 0.0000 0.0000 0.5000
Au 0.2500 0.2500 0.2500

Calculated values
Its magnetization is 0.00 μB/cell. Its total energy is -3.941 eV/atom. Its density of states at the Fermi level is 8.466 states/eV/cell.

=====

# 7
K3La2NpO6 | PBE-GGA | optimized geometry

Lattice parameters (Å, degrees): 6.3621 11.0193 6.6567 90.00 108.59 90.00
Space group C2/m (No. 12)
Unique sites:
K 0.0000 0.0000 0.0000
K 0.0000 0.3353 0.0000
La 0.0000 0.1668 0.5000
Np 0.0000 0.5000 0.5000
O 0.2239 0.3398 0.6910
O 0.2431 0.0000 0.6901

Calculated values
Its magnetization is 8.01 μB/cell. The value obtained for the raw formation energy is -2.50 eV per atom. Its density of states at the Fermi level is 18.627 states/eV/cell.

=====

# 8
V5Bi | PBE-GGA | optimized geometry

Lattice parameters (Å, degrees): 4.4024 12.6422 3.2938 90.00 90.00 90.00
Space group Cmmm (No. 65)
Unique sites:
V 0.0000 0.0000 0.0000
V 0.0000 0.1654 0.5000
V 0.0000 0.3167 0.0000
Bi 0.0000 0.5000 0.5000

Calculated values
Its magnetization is 0.00 μB/cell. Its total energy is -8.067 eV/atom. Its density of states at the Fermi level is 13.934 states/eV/cell.

=====

# 9
CuTc2Os | PBE-GGA | optimized geometry

Lattice parameters (Å, degrees): 2.7230 2.7230 26.4784 90.00 90.00 120.00
Space group R-3m (No. 166, hexagonal axes)
Unique sites:
Cu 0.0000 0.0000 0.0000
Tc 0.0000 0.0000 0.2497
Os 0.0000 0.0000 0.5000

Calculated values
Its magnetization is 0.00 μB/cell. Its density of states at the Fermi level is 14.836 states/eV/cell. Its energy above the most stable polymorph in this dataset is 0.035 eV per atom.

=====

# 10
NaLi | PBE-GGA | optimized geometry

Lattice parameters (Å, degrees): 6.1983 6.1983 6.1847 90.00 90.00 90.00
Space group P4_2/mnm (No. 136)
Unique sites:
Na 0.1919 0.1919 0.0000
Li 0.1818 0.1818 0.5000

Calculated values
Its magnetization is 0.00 μB/cell. Its density of states at the Fermi level is 3.963 states/eV/cell. Its energy above the most stable polymorph in this dataset is 0.124 eV per atom.

=====

# 11
V2AgSb2 | PBE-GGA | optimized geometry

Lattice parameters (Å, degrees): 7.3785 7.3785 3.4618 90.00 90.00 90.00
Space group P4/mbm (No. 127)
Unique sites:
V 0.1254 0.3746 0.0000
Ag 0.0000 0.0000 0.0000
Sb 0.1644 0.6644 0.5000

Calculated values
Its magnetization is 1.63 μB/cell. The value obtained for the raw formation energy is 0.11 eV per atom. Its density of states at the Fermi level is 7.755 states/eV/cell. Its energy above the most stable polymorph in this dataset is 0.000 eV per atom.

=====

# 12
TbSmPtRh | PBE-GGA | optimized geometry

Lattice parameters (Å, degrees): 4.3659 3.8463 10.7130 90.00 90.00 90.00
Space group Amm2 (No. 38)
Unique sites:
Tb 0.0000 0.0000 0.0000
Sm 0.5000 0.0000 0.7188
Pt 0.0000 0.0000 0.2777
Rh 0.5000 0.0000 0.4524

Calculated values
Its magnetization is 0.00 μB/cell. Its density of states at the Fermi level is 4.537 states/eV/cell. Its energy above the most stable polymorph in this dataset is 0.000 eV per atom.